3
Lattice="0.0000 3.4550 3.4550 3.4550 0.0000 3.4550 3.4550 3.4550 0.0000" Properties=species:S:1:pos:R:3 comment="GGA-PBE NaScHg, optimized geometry" volume_a3_per_cell=82.5 de_polymorph_mev_per_atom=0 pbc="T T T"
Hg 0.0000 0.0000 0.0000
Na 1.7275 1.7275 1.7275
Sc 5.1824 5.1824 5.1824